# Zr2ZnSb

A geometry-optimized Zr2ZnSb structure (PBE, Alexandria via LeMat-Bulk).

abc: 3.166 3.166 8.956
angles: 90.00 90.00 90.00
Atoms (fractional coordinates):
Sb  0.000  0.000  0.500
Zn  0.500  0.500  0.768
Zr  0.000  0.000  0.989
Zr  0.500  0.500  0.243

Calculated values
size of the total moment	0.000	μB/f.u.
symmetry	P4mm, No. 99
E_form (uncorrected)	-0.0881	eV per atom